The following is a PBE calculation of an optimized crystal structure of BeReOs2, from the Alexandria database.

Summary:
Calculated volume = 54.2 Å³/cell
Density = 17.6 g/cm³
Energy of formation = 0.338 eV per atom

```
4
Lattice="4.249 0.000 0.000 2.124 3.679 0.000 2.124 1.226 3.469" Properties=species:S:1:pos:R:3 pbc="T T T"
Re 2.124 1.226 0.867
Os 0.000 0.000 0.000
Os 6.373 3.679 2.602
Be 4.249 2.453 1.734
```

***

The following is a PBE calculation of an optimized crystal structure of CsFe, from the Alexandria database.

Summary:
Polymorph energy (0 for the lowest one) = 0.911 eV per atom
Calculated volume = 607.3 Å³/cell
Density = 2.1 g/cm³
Energy of formation = 1.767 eV per atom

```
8
Lattice="8.468 0.000 0.000 0.000 8.468 0.000 0.000 0.000 8.468" Properties=species:S:1:pos:R:3 pbc="T T T"
Cs 0.000 0.000 0.000
Cs 0.000 4.234 4.234
Cs 4.234 0.000 4.234
Cs 4.234 4.234 0.000
Fe 2.117 2.117 2.117
Fe 2.117 6.351 6.351
Fe 6.351 2.117 6.351
Fe 6.351 6.351 2.117
```

***

The following is a PBE calculation of an optimized crystal structure of CoAg3, from the Alexandria database.

Summary:
Calculated volume = 130.5 Å³/cell
Density = 9.7 g/cm³
Energy of formation = 0.386 eV per atom

```
8
Lattice="4.660 0.000 0.000 0.000 4.924 0.000 0.000 0.000 5.688" Properties=species:S:1:pos:R:3 pbc="T T T"
Co 0.000 1.651 0.000
Co 2.330 3.273 2.844
Ag 2.330 3.221 0.000
Ag 0.000 4.105 1.418
Ag 2.330 0.819 1.426
Ag 0.000 1.703 2.844
Ag 0.000 4.105 4.270
Ag 2.330 0.819 4.262
```

***

The following is a PBE calculation of an optimized crystal structure of K2NpBr4F2, from the Alexandria database.

Summary:
Calculated volume = 276.0 Å³/cell
Density = 4.0 g/cm³
Energy relative to the elements, uncorrected = -2.0778 eV per atom

```
9
Lattice="5.802 -0.105 -0.072 1.180 7.142 0.015 1.180 2.636 6.637" Properties=species:S:1:pos:R:3 pbc="T T T"
K 2.618 6.582 4.478
K 5.544 3.091 2.103
Np 2.901 -0.053 -0.036
Br 2.616 4.898 0.990
Br 5.546 6.953 2.388
Br 5.546 4.774 5.590
Br 2.616 2.719 4.192
F 1.610 1.293 0.880
F 6.552 8.379 5.700
```

***

The following is a PBE calculation of an optimized crystal structure of PmTmZn2, from the Alexandria database.

Summary:
Calculated volume = 92.9 Å³/cell
Density = 8.0 g/cm³
Energy of formation = -0.326 eV per atom

```
4
Lattice="-0.140 -0.629 -5.042 0.509 -4.647 -1.997 -3.990 -2.286 -2.166" Properties=species:S:1:pos:R:3 pbc="T T T"
Zn 0.000 0.000 0.000
Zn -1.811 -3.781 -4.603
Tm -2.716 -5.671 -6.904
Pm -0.905 -1.890 -2.301
```

***

The following is a PBE calculation of an optimized crystal structure of TlTcP2, from the Alexandria database.

Summary:
Polymorph energy (0 for the lowest one) = 0.238 eV per atom
Calculated volume = 74.6 Å³/cell
Density = 8.1 g/cm³
Energy of formation = 0.159 eV per atom

```
4
Lattice="3.109 0.000 0.000 0.000 3.109 0.000 0.000 0.000 7.715" Properties=species:S:1:pos:R:3 pbc="T T T"
P 0.000 0.000 0.745
P 1.555 1.555 2.151
Tc 0.000 0.000 3.151
Tl 1.555 1.555 5.525
```